{
  "formula": "Ho2Co3Os",
  "functional": "PBE",
  "state": "optimized geometry",
  "cell": [[2.5770, 1.4878, 4.1216], [-2.5770, 1.4878, 4.1216], [0.0000, -2.9756, 4.1216]],
  "species": ["Ho", "Ho", "Co", "Co", "Co", "Os"],
  "frac_coords": [[0.1263, 0.1263, 0.1263], [0.8737, 0.8737, 0.8737], [0.0000, 0.5000, 0.5000], [0.5000, 0.0000, 0.5000], [0.5000, 0.5000, 0.0000], [0.5000, 0.5000, 0.5000]],
  "mass_density_g_cm3": 12.20,
  "vol_a3_per_cell": 94.9,
  "ef_ev_per_atom": -0.25
}


{
  "formula": "NaH7N2",
  "functional": "PBE",
  "state": "optimized geometry",
  "cell": [[4.1264, -5.3913, 0.0000], [4.1264, 5.3913, 0.0000], [0.0000, 0.0000, 2.6498]],
  "species": ["Na", "H", "H", "H", "H", "H", "H", "H", "N", "N"],
  "frac_coords": [[0.0000, 0.0000, 0.0000], [0.2174, 0.5744, 0.5000], [0.3884, 0.6116, 0.0000], [0.4256, 0.7826, 0.5000], [0.5000, 0.5000, 0.5000], [0.5744, 0.2174, 0.5000], [0.6116, 0.3884, 0.0000], [0.7826, 0.4256, 0.5000], [0.3777, 0.6223, 0.5000], [0.6223, 0.3777, 0.5000]],
  "mass_density_g_cm3": 0.82,
  "vol_a3_per_cell": 117.9,
  "dft_energy_ev_per_atom": -4.01
}


{
  "formula": "PmGeBiPd",
  "functional": "PBE",
  "state": "optimized geometry",
  "cell": [[7.2099, 0.0000, 0.0000], [0.0000, 7.2099, 0.0000], [0.0000, 0.0000, 7.2099]],
  "species": ["Pm", "Pm", "Pm", "Pm", "Ge", "Ge", "Ge", "Ge", "Bi", "Bi", "Bi", "Bi", "Pd", "Pd", "Pd", "Pd"],
  "frac_coords": [[0.0000, 0.0000, 0.0000], [0.0000, 0.5000, 0.5000], [0.5000, 0.0000, 0.5000], [0.5000, 0.5000, 0.0000], [0.2500, 0.2500, 0.2500], [0.2500, 0.7500, 0.7500], [0.7500, 0.2500, 0.7500], [0.7500, 0.7500, 0.2500], [0.0000, 0.0000, 0.5000], [0.0000, 0.5000, 0.0000], [0.5000, 0.0000, 0.0000], [0.5000, 0.5000, 0.5000], [0.2500, 0.2500, 0.7500], [0.2500, 0.7500, 0.2500], [0.7500, 0.2500, 0.2500], [0.7500, 0.7500, 0.7500]],
  "mass_density_g_cm3": 9.45,
  "vol_a3_per_cell": 374.8,
  "ef_ev_per_atom": -0.43
}